[1]
VASP calculation (PBE) on crystalline Nd2Sm2I2Br3N2 at its relaxed geometry.

Cell and atoms, written as POSCAR:
```
Nd2Sm2I2Br3N2
1.0
9.649 -1.905 0.000
9.649 1.905 0.000
-1.699 0.000 8.229
Nd Sm I Br N
2 2 2 3 2
Direct
0.000 0.000 0.195
0.000 0.000 0.805
0.345 0.345 0.922
0.655 0.655 0.078
0.172 0.172 0.789
0.828 0.828 0.211
0.156 0.156 0.349
0.500 0.500 0.500
0.844 0.844 0.651
0.464 0.464 0.983
0.536 0.536 0.017
```

Calculated values
Calculated volume in Å³/atom: 27.51
E_tot in eV/atom: -5.33

***

[2]
VASP calculation (PBE) on crystalline Tm3HgC at its relaxed geometry.

Cell and atoms, written as POSCAR:
```
Tm3HgC
1.0
4.814 0.000 0.000
0.000 4.814 0.000
0.000 0.000 4.814
Tm Hg C
3 1 1
Direct
0.000 0.000 0.500
0.000 0.500 0.000
0.500 0.000 0.000
0.500 0.500 0.500
0.000 0.000 0.000
```

Calculated values
Calculated volume in Å³/atom: 22.32
E_tot in eV/atom: -5.01

***

[3]
VASP calculation (PBE) on crystalline TaBeNO at its relaxed geometry.

Cell and atoms, written as POSCAR:
```
TaBeNO
1.0
3.130 0.000 0.000
0.000 3.130 0.000
0.000 0.000 7.337
Ta Be N O
2 2 2 2
Direct
0.250 0.250 0.188
0.750 0.750 0.812
0.250 0.750 0.500
0.750 0.250 0.500
0.250 0.250 0.684
0.750 0.750 0.316
0.250 0.750 0.000
0.750 0.250 0.000
```

Calculated values
Calculated volume in Å³/atom: 8.99
E_tot in eV/atom: -7.97
Energy above the most stable polymorph in this dataset in meV/atom: 956.8

***

[4]
VASP calculation (PBE) on crystalline Ho4InSnC2 at its relaxed geometry.

Cell and atoms, written as POSCAR:
```
Ho4InSnC2
1.0
3.591 0.000 0.000
-1.796 3.110 0.000
0.000 0.000 16.050
Ho In Sn C
4 1 1 2
Direct
0.000 0.000 0.164
0.000 0.000 0.836
0.333 0.667 0.331
0.333 0.667 0.669
0.000 0.000 0.500
0.333 0.667 0.000
0.667 0.333 0.247
0.667 0.333 0.753
```

Calculated values
Calculated volume in Å³/atom: 22.41
E_tot in eV/atom: -5.92

***

[5]
VASP calculation (PBE) on crystalline MgFeNiAs at its relaxed geometry.

Cell and atoms, written as POSCAR:
```
MgFeNiAs
1.0
5.944 0.000 0.000
0.000 5.944 0.000
0.000 0.000 5.944
Mg Fe Ni As
4 4 4 4
Direct
0.000 0.000 0.000
0.000 0.500 0.500
0.500 0.000 0.500
0.500 0.500 0.000
0.000 0.000 0.500
0.000 0.500 0.000
0.500 0.000 0.000
0.500 0.500 0.500
0.250 0.250 0.750
0.250 0.750 0.250
0.750 0.250 0.250
0.750 0.750 0.750
0.250 0.250 0.250
0.250 0.750 0.750
0.750 0.250 0.750
0.750 0.750 0.250
```

Calculated values
Calculated volume in Å³/atom: 13.12
E_tot in eV/atom: -4.97
Energy above the most stable polymorph in this dataset in meV/atom: 74.8

***

[6]
VASP calculation (PBE) on crystalline ReB at its relaxed geometry.

Cell and atoms, written as POSCAR:
```
ReB
1.0
4.753 0.000 0.000
0.000 4.753 0.000
0.000 0.000 4.753
Re B
4 4
Direct
0.000 0.000 0.000
0.000 0.500 0.500
0.500 0.000 0.500
0.500 0.500 0.000
0.250 0.250 0.250
0.250 0.750 0.750
0.750 0.250 0.750
0.750 0.750 0.250
```

Calculated values
Calculated volume in Å³/atom: 13.42
E_tot in eV/atom: -8.66

***

[7]
VASP calculation (PBE) on crystalline Sn3As2Pd2 at its relaxed geometry.

Cell and atoms, written as POSCAR:
```
Sn3As2Pd2
1.0
2.348 1.356 8.193
-2.348 1.356 8.193
0.000 -2.712 8.193
Sn As Pd
3 2 2
Direct
0.000 0.000 0.000
0.237 0.237 0.237
0.483 0.483 0.483
0.111 0.111 0.111
0.629 0.629 0.629
0.365 0.365 0.365
0.859 0.859 0.859
```

Calculated values
Calculated volume in Å³/atom: 22.36
E_tot in eV/atom: -4.50

***

[8]
VASP calculation (PBE) on crystalline CsThCu at its relaxed geometry.

Cell and atoms, written as POSCAR:
```
CsThCu
1.0
7.315 0.000 0.000
0.000 7.315 0.000
0.000 0.000 7.315
Cs Th Cu
4 4 4
Direct
0.000 0.000 0.000
0.000 0.500 0.500
0.500 0.000 0.500
0.500 0.500 0.000
0.000 0.000 0.500
0.000 0.500 0.000
0.500 0.000 0.000
0.500 0.500 0.500
0.250 0.250 0.250
0.250 0.750 0.750
0.750 0.250 0.750
0.750 0.750 0.250
```

Calculated values
Calculated volume in Å³/atom: 32.62
E_tot in eV/atom: -2.88
Energy above the most stable polymorph in this dataset in meV/atom: 0.0

***

[9]
VASP calculation (PBE) on crystalline BaSm2Ga2Ni4 at its relaxed geometry.

Cell and atoms, written as POSCAR:
```
BaSm2Ga2Ni4
1.0
5.336 -2.078 0.000
5.336 2.078 0.000
-1.413 0.000 8.074
Ba Sm Ga Ni
1 2 2 4
Direct
0.000 0.000 0.000
0.377 0.377 0.614
0.623 0.623 0.386
0.317 0.317 0.226
0.683 0.683 0.774
0.090 0.090 0.624
0.257 0.257 0.910
0.743 0.743 0.090
0.910 0.910 0.376
```

Calculated values
Calculated volume in Å³/atom: 19.90
E_tot in eV/atom: -4.82

***

[10]
VASP calculation (PBE) on crystalline YZnCuSb at its relaxed geometry.

Cell and atoms, written as POSCAR:
```
YZnCuSb
1.0
6.956 0.000 0.000
0.000 6.956 0.000
0.000 0.000 6.956
Y Zn Cu Sb
4 4 4 4
Direct
0.000 0.000 0.000
0.000 0.500 0.500
0.500 0.000 0.500
0.500 0.500 0.000
0.250 0.250 0.750
0.250 0.750 0.250
0.750 0.250 0.250
0.750 0.750 0.750
0.000 0.000 0.500
0.000 0.500 0.000
0.500 0.000 0.000
0.500 0.500 0.500
0.250 0.250 0.250
0.250 0.750 0.750
0.750 0.250 0.750
0.750 0.750 0.250
```

Calculated values
Calculated volume in Å³/atom: 21.03
E_tot in eV/atom: -4.03
Energy above the most stable polymorph in this dataset in meV/atom: 51.8

***

[11]
VASP calculation (PBE) on crystalline Zr2Au2O5 at its relaxed geometry.

Cell and atoms, written as POSCAR:
```
Zr2Au2O5
1.0
3.649 0.000 0.000
0.000 3.649 0.000
0.000 0.000 8.179
Zr Au O
2 2 5
Direct
0.000 0.000 0.000
0.000 0.000 0.500
0.500 0.500 0.160
0.500 0.500 0.840
0.000 0.500 0.320
0.000 0.500 0.680
0.500 0.000 0.320
0.500 0.000 0.680
0.500 0.500 0.500
```

Calculated values
Calculated volume in Å³/atom: 12.10
E_tot in eV/atom: -6.16
Energy above the most stable polymorph in this dataset in meV/atom: 922.8

***

[12]
VASP calculation (PBE) on crystalline LaGdCd6Ge3 at its relaxed geometry.

Cell and atoms, written as POSCAR:
```
LaGdCd6Ge3
1.0
8.303 0.000 0.000
-4.151 7.190 0.000
0.000 0.000 4.300
La Gd Cd Ge
1 1 6 3
Direct
0.000 0.000 0.000
0.667 0.333 0.000
0.058 0.678 0.500
0.125 0.470 0.000
0.322 0.379 0.500
0.345 0.875 0.000
0.530 0.655 0.000
0.621 0.942 0.500
0.346 0.075 0.500
0.729 0.654 0.500
0.925 0.271 0.500
```

Calculated values
Calculated volume in Å³/atom: 23.33
E_tot in eV/atom: -2.92